K2BaV2O6 | GGA+U | relaxed

Cell lengths 6.2872, 6.2872, 7.7604 Å; angles 66.10, 66.10, 60.00 degrees
With the nearest neighbours (Å) after each atom.
Atoms (fractional coordinates):
K: 0.8060 0.8060 0.5820  3 O 2.87
K: 0.1940 0.1940 0.4180  3 O 2.87
Ba: 0.0000 0.0000 0.0000  6 O 2.68
V: 0.4361 0.4361 0.6918  3 O 1.72
V: 0.5639 0.5639 0.3082  3 O 1.72
O: 0.7326 0.7326 0.2714  1 V 1.72
O: 0.2634 0.7326 0.2714  1 V 1.72
O: 0.7326 0.2634 0.2714  1 V 1.72
O: 0.2674 0.7366 0.7286  1 V 1.72
O: 0.7366 0.2674 0.7286  1 V 1.72
O: 0.2674 0.2674 0.7286  1 V 1.72

Output
Theoretical density = 2.92 g/cm³
SG = R-3m
Calculated total energy = -6.466 eV/atom
Fermi-level density of states = 0.00 states/eV per cell